Here is CsCuTe2N after structural relaxation from the Alexandria database. Energies are from PBE-GGA.

Results
**Energy above the lowest structure with this stoichiometry**: 7.667 eV per formula unit
**ΔE_f (raw)**: 1.993 eV per atom

abc: 6.5798 6.5798 4.1947
angles: 90.00 90.00 90.00
Space group P4/mmm (No. 123)
Symmetry-distinct sites (fractional):
Cs (0.0000, 0.0000, 0.0000) (multiplicity 1)
Cu (0.5000, 0.5000, 0.5000) (multiplicity 1)
Te (0.0000, 0.5000, 0.0000) (multiplicity 2)
N (0.0000, 0.0000, 0.5000) (multiplicity 1)

=====

Here is Cs2ZnCuN after structural relaxation from the Alexandria database. Energies are from PBE-GGA.

Results
**ΔE_f (raw)**: 0.922 eV per atom

abc: 6.4198 6.4198 4.7603
angles: 90.00 90.00 90.00
Space group P4/mmm (No. 123)
Symmetry-distinct sites (fractional):
Cs (0.0000, 0.5000, 0.0000) (multiplicity 2)
Zn (0.0000, 0.0000, 0.5000) (multiplicity 1)
Cu (0.0000, 0.0000, 0.0000) (multiplicity 1)
N (0.5000, 0.5000, 0.5000) (multiplicity 1)

=====

Here is CsNa2Cu after structural relaxation from the Alexandria database. Energies are from PBE-GGA.

Results
**Energy above the lowest structure with this stoichiometry**: 0.000 eV per formula unit

abc: 6.2550 6.2550 19.7631
angles: 90.00 90.00 90.00
Space group I-42d (No. 122)
Symmetry-distinct sites (fractional):
Cs (0.0000, 0.0000, 0.0000) (multiplicity 4)
Na (0.0030, 0.2500, 0.6250) (multiplicity 8)
Cu (0.0000, 0.0000, 0.5000) (multiplicity 4)

=====

Here is Cs3NaCu after structural relaxation from the Alexandria database. Energies are from PBE-GGA.

Results
**Energy above the lowest structure with this stoichiometry**: 0.000 eV per formula unit

abc: 7.1237 7.1237 7.1237
angles: 90.00 90.00 90.00
Space group Pm-3m (No. 221)
Symmetry-distinct sites (fractional):
Cs (0.0000, 0.0000, 0.5000) (multiplicity 3)
Na (0.5000, 0.5000, 0.5000) (multiplicity 1)
Cu (0.0000, 0.0000, 0.0000) (multiplicity 1)

=====

Here is CsNa2Cu2 after structural relaxation from the Alexandria database. Energies are from PBE-GGA.

Results
**Energy above the lowest structure with this stoichiometry**: 0.000 eV per formula unit

abc: 4.9474 4.9474 12.6353
angles: 90.00 90.00 90.00
Space group I4/mmm (No. 139)
Symmetry-distinct sites (fractional):
Cs (0.0000, 0.0000, 0.0000) (multiplicity 2)
Na (0.0000, 0.5000, 0.2500) (multiplicity 4)
Cu (0.0000, 0.0000, 0.4042) (multiplicity 4)

=====

Here is CsNaCu3 after structural relaxation from the Alexandria database. Energies are from PBE-GGA.

Results
**Energy above the lowest structure with this stoichiometry**: 2.709 eV per formula unit

abc: 5.9509 5.9509 5.9509
angles: 90.00 90.00 90.00
Space group Pm-3m (No. 221)
Symmetry-distinct sites (fractional):
Cs (0.0000, 0.0000, 0.0000) (multiplicity 1)
Na (0.5000, 0.5000, 0.5000) (multiplicity 1)
Cu (0.0000, 0.0000, 0.5000) (multiplicity 3)

=====

Here is Cs2NaCu2 after structural relaxation from the Alexandria database. Energies are from PBE-GGA.

Results
**Energy above the lowest structure with this stoichiometry**: 0.550 eV per formula unit

abc: 6.4613 6.4613 12.3527
angles: 90.00 90.00 90.00
Space group I4/mmm (No. 139)
Symmetry-distinct sites (fractional):
Cs (0.0000, 0.0000, 0.1555) (multiplicity 4)
Na (0.0000, 0.0000, 0.5000) (multiplicity 2)
Cu (0.0000, 0.5000, 0.2500) (multiplicity 4)

=====

Here is Cs2NaCu2 after structural relaxation from the Alexandria database. Energies are from PBE-GGA.

Results
**Energy above the lowest structure with this stoichiometry**: 0.000 eV per formula unit

abc: 10.2963 10.2963 3.9464
angles: 90.00 90.00 90.00
Space group P4/mbm (No. 127)
Symmetry-distinct sites (fractional):
Cs (0.1375, 0.3625, 0.0000) (multiplicity 4)
Na (0.0000, 0.0000, 0.0000) (multiplicity 2)
Cu (0.1628, 0.6628, 0.5000) (multiplicity 4)